No. 1
## NdEuGaPd (PBE)

Data for a relaxed NdEuGaPd crystal.

```
NdEuGaPd
1.0
0.000 3.675 3.675
3.675 0.000 3.675
3.675 3.675 0.000
Nd Eu Ga Pd
1 1 1 1
Cartesian
0.000 0.000 0.000 Nd
3.675 3.675 3.675 Eu
5.512 5.512 5.512 Ga
1.837 1.837 1.837 Pd
```

## Properties
VASP energy: -6.37 eV per atom
Volume: 99 Å³/f.u.
Spin magnetization: 6.9 Bohr magnetons per cell
DFT formation energy: -552 meV per atom



No. 2
## Cd2TcOs2 (PBE)

Data for a relaxed Cd2TcOs2 crystal.

```
Cd2TcOs2
1.0
6.416 0.000 0.000
0.000 6.416 0.000
0.000 0.000 4.514
Cd Tc Os
4 2 4
Cartesian
1.143 2.065 0.000 Cd
2.065 5.273 0.000 Cd
4.351 1.143 0.000 Cd
5.273 4.351 0.000 Cd
0.000 0.000 2.257 Tc
3.208 3.208 2.257 Tc
0.845 4.053 2.257 Os
2.363 0.845 2.257 Os
4.053 5.571 2.257 Os
5.571 2.363 2.257 Os
```

## Properties
VASP energy: -6.23 eV per atom
Volume: 93 Å³/f.u.
Spin magnetization: 1.3 Bohr magnetons per cell
DFT formation energy: 705 meV per atom



No. 3
## YTlTe2 (PBE)

Data for a relaxed YTlTe2 crystal.

```
YTlTe2
1.0
4.819 0.000 0.000
-2.409 4.173 0.000
0.000 0.000 8.709
Y Tl Te
1 1 2
Cartesian
0.000 0.000 0.000 Y
2.409 1.391 4.469 Tl
0.000 0.000 2.821 Te
0.000 2.782 7.519 Te
```

## Properties
VASP energy: -4.56 eV per atom
Volume: 175 Å³/f.u.
Spin magnetization: 0.0 Bohr magnetons per cell



No. 4
## V2AsPt (PBE)

Data for a relaxed V2AsPt crystal.

```
V2AsPt
1.0
1.820 1.051 5.733
-1.820 1.051 5.733
0.000 -2.102 5.733
V As Pt
2 1 1
Cartesian
0.000 0.000 4.308 V
0.000 0.000 12.892 V
0.000 0.000 8.600 As
0.000 0.000 0.000 Pt
```

## Properties
VASP energy: -7.22 eV per atom
Volume: 66 Å³/f.u.
Spin magnetization: 0.0 Bohr magnetons per cell
DFT formation energy: 16 meV per atom



No. 5
## KVCo3 (PBE)

Data for a relaxed KVCo3 crystal.

```
KVCo3
1.0
4.438 0.000 0.000
0.000 4.438 0.000
0.000 0.000 4.438
K V Co
1 1 3
Cartesian
0.000 0.000 0.000 K
2.219 2.219 2.219 V
0.000 2.219 2.219 Co
2.219 0.000 2.219 Co
2.219 2.219 0.000 Co
```

## Properties
VASP energy: -5.17 eV per atom
Volume: 87 Å³/f.u.
Spin magnetization: 0.9 Bohr magnetons per cell
DFT formation energy: 1141 meV per atom



No. 6
## KCuOs (PBE)

Data for a relaxed KCuOs crystal.

```
KCuOs
1.0
-1.292 2.110 5.910
1.292 -2.110 5.910
1.292 2.110 -5.910
K Cu Os
1 1 1
Cartesian
0.000 0.000 0.000 K
0.000 0.000 3.224 Cu
0.000 0.000 8.545 Os
```

## Properties
VASP energy: -4.66 eV per atom
Volume: 64 Å³/f.u.
Spin magnetization: 0.0 Bohr magnetons per cell
DFT formation energy: 814 meV per atom



No. 7
## BTeW2 (PBE)

Data for a relaxed BTeW2 crystal.

```
BTeW2
1.0
0.000 3.116 3.116
3.116 0.000 3.116
3.116 3.116 0.000
B Te W
1 1 2
Cartesian
0.000 0.000 0.000 B
3.116 3.116 3.116 Te
1.558 1.558 1.558 W
4.674 4.674 4.674 W
```

## Properties
VASP energy: -7.90 eV per atom
Volume: 61 Å³/f.u.
Spin magnetization: 0.0 Bohr magnetons per cell



No. 8
## TlSiHg2 (PBE)

Data for a relaxed TlSiHg2 crystal.

```
TlSiHg2
1.0
2.169 1.252 6.681
-2.169 1.252 6.681
0.000 -2.505 6.681
Tl Si Hg
1 1 2
Cartesian
0.000 0.000 0.000 Tl
0.000 0.000 4.750 Si
0.000 0.000 10.727 Hg
0.000 0.000 15.469 Hg
```

## Properties
VASP energy: -1.82 eV per atom
Volume: 109 Å³/f.u.
Spin magnetization: 0.0 Bohr magnetons per cell



No. 9
## Ti2AgGeBi (PBE)

Data for a relaxed Ti2AgGeBi crystal.

```
Ti2AgGeBi
1.0
5.240 0.000 0.000
0.000 5.240 0.000
0.000 0.000 5.174
Ti Ag Ge Bi
2 1 1 1
Cartesian
0.000 2.620 0.000 Ti
2.620 0.000 0.000 Ti
0.000 0.000 2.587 Ag
2.620 2.620 2.587 Ge
0.000 0.000 0.000 Bi
```

## Properties
VASP energy: -4.35 eV per atom
Volume: 142 Å³/f.u.
Spin magnetization: 2.2 Bohr magnetons per cell
DFT formation energy: 1075 meV per atom



No. 10
## VCrPt (PBE)

Data for a relaxed VCrPt crystal.

```
VCrPt
1.0
2.778 0.000 0.000
0.000 6.479 2.261
0.000 -6.479 2.261
V Cr Pt
2 2 2
Cartesian
0.000 -4.659 2.261 V
0.000 4.659 2.261 V
0.000 0.000 2.861 Cr
1.389 0.000 0.529 Cr
1.389 -2.290 2.253 Pt
1.389 2.290 2.253 Pt
```

## Properties
VASP energy: -8.48 eV per atom
Volume: 41 Å³/f.u.
Spin magnetization: 0.0 Bohr magnetons per cell
DFT formation energy: -223 meV per atom



No. 11
## KLi2Te (PBE)

Data for a relaxed KLi2Te crystal.

```
KLi2Te
1.0
-2.418 2.418 4.869
2.418 -2.418 4.869
2.418 2.418 -4.869
K Li Te
1 2 1
Cartesian
0.000 0.000 0.000 K
2.418 0.000 2.435 Li
0.000 0.000 4.869 Li
0.000 2.418 2.435 Te
```

## Properties
VASP energy: -2.40 eV per atom
Volume: 114 Å³/f.u.
Spin magnetization: 0.8 Bohr magnetons per cell



No. 12
## TaFe2Se (PBE)

Data for a relaxed TaFe2Se crystal.

```
TaFe2Se
1.0
0.000 3.066 3.066
3.066 0.000 3.066
3.066 3.066 0.000
Ta Fe Se
1 2 1
Cartesian
0.000 0.000 0.000 Ta
1.533 1.533 1.533 Fe
3.066 3.066 3.066 Fe
4.600 4.600 4.600 Se
```

## Properties
VASP energy: -7.82 eV per atom
Volume: 58 Å³/f.u.
Spin magnetization: 3.9 Bohr magnetons per cell